Below is a geometry-optimized SmEr4Hg5 structure, with properties calculated at the PBE-GGA level.

Values from the calculation:
Energy of formation from the pure elements in meV per atom: -481
Total DFT energy (no corrections) in eV/atom: -2.93
Total moment in μB per formula unit: 0.43
Theoretical density in g cm⁻³: 11.95
SG: P4/mmm, No. 123

a = 3.689 Å, b = 3.689 Å, c = 18.605 Å
α = 90.00°, β = 90.00°, γ = 90.00°
Fractional coordinates of all 10 atoms:
Sm (0.000, 0.000, 0.000)
Er (0.000, 0.000, 0.204)
Er (0.000, 0.000, 0.402)
Er (0.000, 0.000, 0.598)
Er (0.000, 0.000, 0.796)
Hg (0.500, 0.500, 0.108)
Hg (0.500, 0.500, 0.303)
Hg (0.500, 0.500, 0.500)
Hg (0.500, 0.500, 0.697)
Hg (0.500, 0.500, 0.892)

Below is a geometry-optimized TbTlCdTe3 structure, with properties calculated at the PBE-GGA level.

Values from the calculation:
Energy relative to the lowest polymorph listed for this composition in eV/atom: 0.000
Total DFT energy (no corrections) in eV/atom: -3.71
Total moment in μB per formula unit: 0.00
Theoretical density in g cm⁻³: 7.02
SG: Cmcm, No. 63

a = 8.069 Å, b = 8.069 Å, c = 11.730 Å
α = 90.00°, β = 90.00°, γ = 147.86°
Fractional coordinates of all 12 atoms:
Tb (0.000, 0.000, 0.000)
Tb (0.000, 0.000, 0.500)
Tl (0.241, 0.759, 0.750)
Tl (0.759, 0.241, 0.250)
Cd (0.463, 0.537, 0.250)
Cd (0.537, 0.463, 0.750)
Te (0.080, 0.920, 0.250)
Te (0.363, 0.637, 0.049)
Te (0.363, 0.637, 0.451)
Te (0.637, 0.363, 0.549)
Te (0.637, 0.363, 0.951)
Te (0.920, 0.080, 0.750)